Below is a geometry-optimized Zr2ReRuS structure, with properties calculated at the PBE-GGA level.

Cell: 5.158 5.158 4.276 Å, 90.00 90.00 90.00°
Space group P4/mmm (No. 123)
Symmetry-distinct sites (fractional):
Zr (0.000, 0.500, 0.000) [2 per cell]
Re (0.000, 0.000, 0.000) [1 per cell]
Ru (0.500, 0.500, 0.500) [1 per cell]
S (0.000, 0.000, 0.500) [1 per cell]

- Formation energy from raw total energies: 0.8124 eV per atom

---

Below is a geometry-optimized Ac4NdBi5 structure, with properties calculated at the PBE-GGA level.

Cell: 10.797 10.797 6.837 Å, 90.00 90.00 90.00°
Space group I4/m (No. 87)
Symmetry-distinct sites (fractional):
Ac (0.098, 0.300, 0.000) [8 per cell]
Nd (0.000, 0.000, 0.500) [2 per cell]
Bi (0.000, 0.000, 0.000) [2 per cell]
Bi (0.098, 0.292, 0.500) [8 per cell]

- E_form: -22.66 kcal/mol of atoms
- Polymorph energy (0 for the lowest one): 0 meV per atom

---

Below is a geometry-optimized AcGeBi2 structure, with properties calculated at the PBE-GGA level.

Cell: 4.854 4.854 5.141 Å, 90.00 90.00 90.00°
Space group P4/mmm (No. 123)
Symmetry-distinct sites (fractional):
Ac (0.000, 0.000, 0.000) [1 per cell]
Ge (0.500, 0.500, 0.000) [1 per cell]
Bi (0.000, 0.500, 0.500) [2 per cell]

- E_form: -9.68 kcal/mol of atoms
- Polymorph energy (0 for the lowest one): 0 meV per atom